No. 1
VASP calculation (PBE-GGA) on a geometry-optimized Si2HgAs structure.

Output
total energy = -3.6942 eV/atom
DOS(E_F) = 1.61 states/eV per cell
energy relative to the elements, uncorrected = 0.26 eV per atom
energy relative to the lowest polymorph listed for this composition = 0.0023 eV/atom

a = 3.6192 Å, b = 3.6192 Å, c = 7.3734 Å
α = 89.95°, β = 89.95°, γ = 60.04°
Sites, in units of the cell vectors:
As: 0.3754 0.3754 0.5764
Hg: 0.3737 0.3737 0.2110
Si: 0.0418 0.0418 0.7479
Si: 0.7092 0.7092 0.9648



No. 2
VASP calculation (PBE-GGA) on a geometry-optimized SiHgAs2W structure.

Output
total energy = -4.1724 eV/atom
DOS(E_F) = 3.31 states/eV per cell
energy relative to the elements, uncorrected = 1.42 eV per atom

a = 4.7965 Å, b = 4.8634 Å, c = 4.7965 Å
α = 90.00°, β = 90.00°, γ = 90.00°
Last column: magnetic moment on the atom in μB.
Sites, in units of the cell vectors:
As: 0.0000 0.0000 0.5000  -0.13
As: 0.5000 0.0000 0.0000  -0.11
Si: 0.0000 0.0000 0.0000  0.02
Hg: 0.0000 0.5000 0.0000  0.02
W: 0.5000 0.5000 0.5000  2.77



No. 3
VASP calculation (PBE-GGA) on a geometry-optimized Sm6HgTe3As2 structure.

Output
total energy = -5.2573 eV/atom
DOS(E_F) = 5.87 states/eV per cell
energy relative to the elements, uncorrected = -1.31 eV per atom

a = 4.2986 Å, b = 8.8630 Å, c = 9.7784 Å
α = 103.44°, β = 102.70°, γ = 90.00°
Sites, in units of the cell vectors:
Sm: 0.3338 0.8963 0.6676
Sm: 0.6733 0.5678 0.3465
Sm: 0.6662 0.1037 0.3324
Sm: 0.0076 0.2507 0.0153
Sm: 0.9924 0.7493 0.9847
Sm: 0.3267 0.4322 0.6535
Hg: 0.5000 0.0000 0.0000
Te: 0.5000 0.5000 0.0000
Te: 0.8342 0.1678 0.6683
Te: 0.1658 0.8322 0.3317
As: 0.8319 0.6639 0.6638
As: 0.1681 0.3361 0.3362



No. 4
VASP calculation (PBE-GGA) on a geometry-optimized Sm4HgTe2As structure.

Output
total energy = -4.9574 eV/atom
DOS(E_F) = 5.76 states/eV per cell
energy relative to the elements, uncorrected = -1.19 eV per atom

a = 4.2913 Å, b = 7.6170 Å, c = 7.6686 Å
α = 71.43°, β = 90.00°, γ = 90.00°
Sites, in units of the cell vectors:
Sm: 0.0000 0.7381 0.7457
Sm: 0.0000 0.2619 0.2543
Sm: 0.5000 0.7280 0.2669
Sm: 0.5000 0.2720 0.7331
Hg: 0.5000 0.5000 0.0000
Te: 0.0000 0.0000 0.0000
Te: 0.5000 0.0000 0.5000
As: 0.0000 0.5000 0.5000



No. 5
VASP calculation (PBE-GGA) on a geometry-optimized Sn2HgAs2 structure.

Output
total energy = -3.4068 eV/atom
DOS(E_F) = 1.76 states/eV per cell
energy relative to the lowest polymorph listed for this composition = 0.0931 eV/atom
formation energy = 0.57 eV per formula unit

a = 4.2763 Å, b = 4.2763 Å, c = 8.1227 Å
α = 74.74°, β = 74.74°, γ = 90.00°
Sites, in units of the cell vectors:
As: 0.7500 0.2500 0.5000
As: 0.2500 0.7500 0.5000
Hg: 0.0000 0.0000 0.0000
Sn: 0.3818 0.3818 0.2364
Sn: 0.6182 0.6182 0.7636



No. 6
VASP calculation (PBE-GGA) on a geometry-optimized SnHg3As structure.

Output
total energy = -1.5142 eV/atom
DOS(E_F) = 6.74 states/eV per cell
energy relative to the lowest polymorph listed for this composition = 0.0000 eV/atom
formation energy = 1.99 eV per formula unit

a = 5.3257 Å, b = 5.3257 Å, c = 5.3257 Å
α = 90.00°, β = 90.00°, γ = 90.00°
Sites, in units of the cell vectors:
As: 0.0000 0.0000 0.0000
Hg: 0.0000 0.5000 0.0000
Hg: 0.0000 0.0000 0.5000
Hg: 0.5000 0.0000 0.0000
Sn: 0.5000 0.5000 0.5000



No. 7
VASP calculation (PBE-GGA) on a geometry-optimized SnHg2As structure.

Output
total energy = -2.2409 eV/atom
DOS(E_F) = 1.72 states/eV per cell
energy relative to the lowest polymorph listed for this composition = 0.0000 eV/atom
formation energy = 0.29 eV per formula unit

a = 5.3456 Å, b = 3.7974 Å, c = 8.0372 Å
α = 89.79°, β = 90.00°, γ = 134.74°
Sites, in units of the cell vectors:
Sn: 0.8749 0.7499 0.6757
Hg: 0.8757 0.7515 0.0355
Hg: 0.3737 0.7474 0.2216
As: 0.3756 0.7512 0.5672



No. 8
VASP calculation (PBE-GGA) on a geometry-optimized SnHgAs2 structure.

Output
total energy = -3.0919 eV/atom
DOS(E_F) = 2.51 states/eV per cell
formation energy = 1.24 eV per formula unit

a = 3.5354 Å, b = 3.5354 Å, c = 10.6411 Å
α = 80.44°, β = 80.44°, γ = 60.00°
Sites, in units of the cell vectors:
As: 0.1057 0.1057 0.6830
As: 0.8943 0.8943 0.3170
Hg: 0.0000 0.0000 0.0000
Sn: 0.5000 0.5000 0.5000



no.,total magnetization (μB per formula unit)
1,0.000
2,3.328
3,0.000
4,0.000
5,0.000
6,0.000
7,0.000
8,0.000